YSi2Ge2, relaxed, DFT PBE; mass density = 4.773 Mg/m³; crystal system = tetragonal; formation energy without anion corrections = -0.0248 eV per atom; polymorph energy (0 for the lowest one) = 15 kJ/mol of formula units; calculated volume = 20.21 A^3/atom; Fermi-level density of states = 0.2944 states/eV/atom
1.0
4.863 0.000 0.000
0.000 4.863 0.000
2.432 2.432 4.271
Y Ge Si
1 2 2
Cartesian
0.000 0.000 0.000
2.432 2.432 1.283
4.863 4.863 2.989
4.863 2.432 2.136
2.432 4.863 2.136


AcYSiPt, relaxed, DFT PBE; mass density = 8.913 Mg/m³; crystal system = cubic; formation energy without anion corrections = -0.7016 eV per atom; calculated volume = 25.11 A^3/atom; Fermi-level density of states = 0.3502 states/eV/atom
1.0
-4.642 -1.062 2.133
-0.315 -3.224 4.090
-1.195 1.880 4.718
Y Ac Si Pt
1 1 1 1
Cartesian
-3.076 -1.203 5.470
0.000 0.000 0.000
-4.614 -1.805 8.206
-1.538 -0.602 2.735


CaY2ScAs4, relaxed, DFT PBE; mass density = 4.827 Mg/m³; crystal system = monoclinic; calculated volume = 24.19 A^3/atom; energy relative to the elements = -10.55 eV per formula unit; Fermi-level density of states = 0.4333 states/eV/atom
1.0
4.080 0.000 0.000
0.000 7.050 -0.135
0.000 2.485 6.679
Ca Y Sc As
1 2 1 4
Cartesian
2.040 3.525 -0.068
0.000 2.485 6.679
2.040 1.242 3.340
0.000 4.767 3.272
0.000 7.118 4.836
4.080 2.417 1.708
2.040 5.878 1.652
2.040 3.657 4.891